Entry 1:
Density functional theory data (PBE-GGA) for a geometry-optimized TbPmSc2 structure.

Lattice parameters (Å, degrees): 3.4612 3.4612 11.2147 81.12 81.12 60.00
Closest atoms and distances in Å follow each position.
Sites, in units of the cell vectors:
Pm: 0.5005 0.5005 0.4986  6 Sc 3.42-3.45, 6 Pm 3.46
Sc: 0.0820 0.0820 0.7540  3 Tb 3.38, 3 Pm 3.45, 6 Sc 3.46
Sc: 0.2511 0.2511 0.2466  3 Tb 3.37, 3 Pm 3.42, 6 Sc 3.46
Tb: 0.6664 0.6664 0.0009  6 Sc 3.37-3.38, 6 Tb 3.46

Energy of formation   0.07 eV/atom
Fermi-level density of states   1.5855 states/eV/atom
Energy above the lowest structure with this stoichiometry   20 meV per atom
Space-group type   R3m

---

Entry 2:
Density functional theory data (PBE-GGA) for a geometry-optimized Ac2Hg5Pd3 structure.

Lattice parameters (Å, degrees): 6.0963 9.6413 9.6413 69.00 71.57 71.57
Closest atoms and distances in Å follow each position.
Sites, in units of the cell vectors:
Hg: 0.7500 0.5000 0.5000  4 Pd 3.00, 2 Hg 3.05
Hg: 0.4327 0.2605 0.8741  3 Pd 2.73-2.78
Hg: 0.5599 0.1901 0.1901  3 Pd 2.79-2.83, 2 Hg 3.05
Hg: 0.9327 0.8741 0.2605  3 Pd 2.73-2.78
Hg: 0.5673 0.7395 0.1259  3 Pd 2.73-2.78
Hg: 0.0599 0.1901 0.1901  3 Pd 2.79-2.83, 2 Hg 3.05
Hg: 0.2500 0.5000 0.5000  4 Pd 3.00, 2 Hg 3.05
Hg: 0.0673 0.1259 0.7395  3 Pd 2.73-2.78
Hg: 0.4401 0.8099 0.8099  3 Pd 2.79-2.83, 2 Hg 3.05
Hg: 0.9401 0.8099 0.8099  3 Pd 2.79-2.83, 2 Hg 3.05
Ac: 0.6529 0.1425 0.5517  4 Pd 3.24-3.51, 9 Hg 3.42-3.61
Ac: 0.3471 0.8575 0.4483  4 Pd 3.24-3.51, 9 Hg 3.42-3.61
Ac: 0.1529 0.5517 0.1425  4 Pd 3.24-3.51, 9 Hg 3.42-3.61
Ac: 0.8471 0.4483 0.8575  4 Pd 3.24-3.51, 9 Hg 3.42-3.61
Pd: 0.6623 0.4296 0.2459  5 Hg 2.73-3.00
Pd: 0.8377 0.7541 0.5704  5 Hg 2.73-3.00
Pd: 0.1623 0.2459 0.4296  5 Hg 2.73-3.00
Pd: 0.3377 0.5704 0.7541  5 Hg 2.73-3.00
Pd: 0.7500 0.0000 0.0000  6 Hg 2.78-2.79, 2 Pd 3.05
Pd: 0.2500 0.0000 0.0000  6 Hg 2.78-2.79, 2 Pd 3.05

Energy of formation   -0.46 eV/atom
Fermi-level density of states   0.4375 states/eV/atom
Energy above the lowest structure with this stoichiometry   31 meV per atom
Space-group type   Ibam

---

Entry 3:
Density functional theory data (PBE-GGA) for a geometry-optimized PrThInHg structure.

Lattice parameters (Å, degrees): 3.5647 3.5647 8.9474 90.00 90.00 90.00
Closest atoms and distances in Å follow each position.
Sites, in units of the cell vectors:
Pr: 0.0000 0.0000 0.8537  4 Hg 3.35, 4 In 3.39, 4 Pr 3.56
Th: 0.0000 0.0000 0.3605  4 Hg 3.35, 4 In 3.39, 4 Th 3.56
Hg: 0.5000 0.5000 0.6073  4 Pr 3.35, 4 Th 3.35, 4 Hg 3.56
In: 0.5000 0.5000 0.1064  4 Pr 3.39, 4 Th 3.39, 4 In 3.56

Energy of formation   -0.36 eV/atom
Fermi-level density of states   1.0018 states/eV/atom
Energy above the lowest structure with this stoichiometry   0 meV per atom
Space-group type   P4mm

---

Entry 4:
Density functional theory data (PBE-GGA) for a geometry-optimized AcHfPd structure.

Lattice parameters (Å, degrees): 3.8142 3.8175 13.1757 90.00 90.00 119.97
Closest atoms and distances in Å follow each position.
Sites, in units of the cell vectors:
Hf: 0.2775 0.5550 0.8794  3 Pd 2.72
Hf: 0.2775 0.5550 0.1206  3 Pd 2.72
Ac: 0.6112 0.2224 0.6676  3 Pd 3.12
Ac: 0.6112 0.2224 0.3324  3 Pd 3.12
Pd: 0.6107 0.2213 0.0000  6 Hf 2.72
Pd: 0.2785 0.5571 0.5000  6 Ac 3.12

Energy of formation   -0.10 eV/atom
Fermi-level density of states   0.8970 states/eV/atom
Space-group type   Amm2